Entry 1:
## DyTiBi2 (PBE)

Data for a relaxed DyTiBi2 crystal.

Energy relative to the lowest polymorph listed for this composition ... 288 meV per atom
Calculated total energy ... -20.1 eV for the cell shown
Formation energy ... 0.040 eV per atom
Total magnetization ... 0.0001 μB per atom

Cell: 10.9794 10.9794 10.9794 Å, 18.23 18.23 18.23°
Closest atoms and distances in Å follow each position.
Element x y z (fractional)
Dy1 0.0000 0.0000 0.0000  2 Bi 3.21, 6 Dy 3.48
Ti1 0.5000 0.5000 0.5000  6 Bi 2.97
Bi1 0.0990 0.0990 0.0990  3 Ti 2.97, 1 Dy 3.21
Bi2 0.9010 0.9010 0.9010  3 Ti 2.97, 1 Dy 3.21

Entry 2:
## La2CdHPb (PBE)

Data for a relaxed La2CdHPb crystal.

Energy relative to the lowest polymorph listed for this composition ... 0 meV per atom
Calculated total energy ... -20.1 eV for the cell shown
Total magnetization ... 0.0201 μB per atom

Cell: 5.0786 5.0786 4.7415 Å, 90.00 90.00 90.00°
Closest atoms and distances in Å follow each position.
Element x y z (fractional)
La1 0.0000 0.5000 0.0000  2 H 2.54
La2 0.5000 0.0000 0.0000  2 H 2.54
Cd1 0.0000 0.0000 0.5000  2 H 2.37
H1 0.0000 0.0000 0.0000  2 Cd 2.37, 4 La 2.54
Pb1 0.5000 0.5000 0.5000  8 La 3.47, 4 Cd 3.59

Entry 3:
## Si2TeAu (PBE)

Data for a relaxed Si2TeAu crystal.

Calculated total energy ... -15.0 eV for the cell shown
Total magnetization ... 0.0000 μB per atom

Cell: 5.9515 5.9515 5.9515 Å, 141.17 141.17 56.09°
Closest atoms and distances in Å follow each position.
Element x y z (fractional)
Si1 0.0000 0.0000 0.0000  4 Au 2.80
Si2 0.7500 0.2500 0.5000  4 Te 2.80
Te1 0.2500 0.7500 0.5000  4 Si 2.80
Au1 0.5000 0.5000 0.0000  4 Si 2.80

Entry 4:
## AcSm2Ho4 (PBE)

Data for a relaxed AcSm2Ho4 crystal.

Energy relative to the lowest polymorph listed for this composition ... 0 meV per atom
Calculated total energy ... -63.2 eV for the cell shown
Formation energy ... 0.038 eV per atom
Total magnetization ... 0.0000 μB per atom

Cell: 6.8851 8.5756 9.3566 Å, 65.80 71.71 77.03°
Closest atoms and distances in Å follow each position.
Element x y z (fractional)
Ac1 0.0000 0.0000 0.0000  7 Ho 3.63-3.79, 3 Sm 3.65-3.80, 2 Ac 3.65
Ac2 0.4708 0.8940 0.1383  7 Ho 3.62-3.80, 3 Sm 3.65-3.80, 2 Ac 3.65
Sm1 0.1329 0.5567 0.2991  8 Ho 3.47-3.76, 2 Sm 3.62-3.68, 2 Ac 3.65-3.80
Sm2 0.1874 0.7561 0.5642  8 Ho 3.54-3.73, 3 Sm 3.59-3.68, 1 Ac 3.66
Sm3 0.3375 0.3377 0.8390  7 Ho 3.50-3.77, 3 Sm 3.53-3.67, 2 Ac 3.65-3.80
Sm4 0.8531 0.4255 0.7203  4 Sm 3.53-3.67, 7 Ho 3.54-3.75, 1 Ac 3.66
Ho1 0.0374 0.1877 0.2763  3 Sm 3.47-3.77, 7 Ho 3.54-3.64, 2 Ac 3.66-3.71
Ho2 0.2866 0.1393 0.5733  4 Sm 3.54-3.70, 7 Ho 3.54-3.72, 1 Ac 3.67
Ho3 0.4332 0.7093 0.8631  4 Sm 3.50-3.76, 6 Ho 3.54-3.72, 2 Ac 3.63-3.69
Ho4 0.5635 0.2870 0.1574  7 Ho 3.50-3.74, 3 Sm 3.59-3.75, 2 Ac 3.65-3.76
Ho5 0.6165 0.4662 0.4163  6 Ho 3.50-3.72, 5 Sm 3.54-3.71, 1 Ac 3.66
Ho6 0.7163 0.8527 0.4440  6 Ho 3.45-3.74, 4 Sm 3.58-3.69, 2 Ac 3.62-3.79
Ho7 0.7536 0.0446 0.6929  7 Ho 3.45-3.78, 3 Sm 3.61-3.68, 2 Ac 3.63-3.80
Ho8 0.9061 0.6060 0.9837  6 Ho 3.54-3.78, 4 Sm 3.54-3.61, 2 Ac 3.65-3.75

Entry 5:
## NaLaTe2Cl (PBE)

Data for a relaxed NaLaTe2Cl crystal.

Calculated total energy ... -20.0 eV for the cell shown
Total magnetization ... 0.0000 μB per atom

Cell: 6.2161 6.2161 5.5520 Å, 90.00 90.00 90.00°
Closest atoms and distances in Å follow each position.
Element x y z (fractional)
Na1 0.0000 0.0000 0.0000  8 Te 4.17, 4 Cl 4.40
La1 0.5000 0.5000 0.5000  2 Cl 2.78, 4 Te 3.11
Te1 0.0000 0.5000 0.5000  2 La 3.11
Te2 0.5000 0.0000 0.5000  2 La 3.11
Cl1 0.5000 0.5000 0.0000  2 La 2.78

Entry 6:
## AlGeIr2 (PBE)

Data for a relaxed AlGeIr2 crystal.

Calculated total energy ... -27.9 eV for the cell shown
Formation energy ... -0.453 eV per atom
Total magnetization ... 0.0000 μB per atom

Cell: 4.1073 4.1073 3.3947 Å, 90.00 90.00 90.00°
Closest atoms and distances in Å follow each position.
Element x y z (fractional)
Al1 0.0000 0.0000 0.0000  8 Ir 2.66, 4 Ge 2.90
Ge1 0.5000 0.5000 0.0000  8 Ir 2.66, 4 Al 2.90
Ir1 0.0000 0.5000 0.5000  4 Ge 2.66, 4 Al 2.66, 4 Ir 2.90
Ir2 0.5000 0.0000 0.5000  4 Ge 2.66, 4 Al 2.66, 4 Ir 2.90

Entry 7:
## K2RbCeF6 (PBE)

Data for a relaxed K2RbCeF6 crystal.

Energy relative to the lowest polymorph listed for this composition ... 0 meV per atom
Calculated total energy ... -105.9 eV for the cell shown
Total magnetization ... 0.1002 μB per atom

Cell: 6.6171 6.8848 11.4002 Å, 90.00 123.91 90.00°
Closest atoms and distances in Å follow each position.
Element x y z (fractional)
K1 0.2191 0.0427 0.2276  5 F 2.65-2.93
K2 0.2191 0.4573 0.7276  5 F 2.65-2.93
K3 0.7809 0.5427 0.2724  5 F 2.65-2.93
K4 0.7809 0.9573 0.7724  5 F 2.65-2.93
Rb1 0.0000 0.0000 0.5000  6 F 2.71-2.90
Rb2 0.0000 0.5000 0.0000  6 F 2.71-2.90
Ce1 0.5000 0.0000 0.0000  6 F 2.30-2.33
Ce2 0.5000 0.5000 0.5000  6 F 2.30-2.33
F1 0.1656 0.1599 0.9644  1 Ce 2.30
F2 0.1656 0.3401 0.4644  1 Ce 2.30
F3 0.2408 0.7337 0.9014  1 Ce 2.33
F4 0.2408 0.7663 0.4014  1 Ce 2.33
F5 0.4082 0.0969 0.7808  1 Ce 2.32
F6 0.4082 0.4031 0.2808  1 Ce 2.32
F7 0.5918 0.5969 0.7192  1 Ce 2.32
F8 0.5918 0.9031 0.2192  1 Ce 2.32
F9 0.7592 0.2337 0.5986  1 Ce 2.33
F10 0.7592 0.2663 0.0986  1 Ce 2.33
F11 0.8344 0.6599 0.5356  1 Ce 2.30
F12 0.8344 0.8401 0.0356  1 Ce 2.30

Entry 8:
## Cs2Pu3AgO12 (PBE)

Data for a relaxed Cs2Pu3AgO12 crystal.

Calculated total energy ... -145.0 eV for the cell shown
Total magnetization ... 0.1655 μB per atom

Cell: 7.6902 7.6902 7.6902 Å, 62.72 62.72 62.72°
Closest atoms and distances in Å follow each position.
Element x y z (fractional)
Cs1 0.1184 0.1184 0.1184  9 O 3.33-3.72
Cs2 0.8816 0.8816 0.8816  9 O 3.33-3.72
Pu1 0.0000 0.5000 0.5000  2 O 1.86
Pu2 0.5000 0.0000 0.5000  2 O 1.86
Pu3 0.5000 0.5000 0.0000  2 O 1.86
Ag1 0.5000 0.5000 0.5000  6 O 2.40
O1 0.1363 0.5814 0.5814  1 Pu 1.86
O2 0.1939 0.1939 0.5772  2 Pu 2.10
O3 0.1939 0.5772 0.1939  2 Pu 2.10
O4 0.4186 0.4186 0.8637  1 Pu 1.86
O5 0.4186 0.8637 0.4186  1 Pu 1.86
O6 0.4228 0.8061 0.8061  2 Pu 2.10
O7 0.5772 0.1939 0.1939  2 Pu 2.10
O8 0.5814 0.1363 0.5814  1 Pu 1.86
O9 0.5814 0.5814 0.1363  1 Pu 1.86
O10 0.8061 0.4228 0.8061  2 Pu 2.10
O11 0.8061 0.8061 0.4228  2 Pu 2.10
O12 0.8637 0.4186 0.4186  1 Pu 1.86

Entry 9:
## Rb3Ac2SmS6 (PBE)

Data for a relaxed Rb3Ac2SmS6 crystal.

Calculated total energy ... -62.9 eV for the cell shown
Total magnetization ... 0.0000 μB per atom

Cell: 7.5671 7.5671 8.1295 Å, 98.93 98.93 120.00°
Closest atoms and distances in Å follow each position.
Element x y z (fractional)
Rb1 0.0000 0.0000 0.0000  6 S 3.39-3.51
Rb2 0.3335 0.6665 0.0000  6 S 3.39-3.50
Rb3 0.6665 0.3335 0.0000  6 S 3.39-3.50
Ac1 0.1667 0.8333 0.5000  6 S 3.00-3.01
Ac2 0.8333 0.1667 0.5000  6 S 3.00-3.01
Sm1 0.5000 0.5000 0.5000  6 S 2.87
S1 0.1139 0.4333 0.2998  1 Sm 2.87, 2 Ac 3.01
S2 0.2473 0.2473 0.6997  1 Sm 2.87, 2 Ac 3.00
S3 0.4333 0.1139 0.2998  1 Sm 2.87, 2 Ac 3.01
S4 0.5667 0.8861 0.7002  1 Sm 2.87, 2 Ac 3.01
S5 0.7527 0.7527 0.3003  1 Sm 2.87, 2 Ac 3.00
S6 0.8861 0.5667 0.7002  1 Sm 2.87, 2 Ac 3.01

Entry 10:
## Pm12Cd2Pt5 (PBE)

Data for a relaxed Pm12Cd2Pt5 crystal.

Calculated total energy ... -100.4 eV for the cell shown
Formation energy ... -0.597 eV per atom
Total magnetization ... 0.0000 μB per atom

Cell: 9.2944 9.2944 9.4605 Å, 106.87 106.87 47.16°
Closest atoms and distances in Å follow each position.
Element x y z (fractional)
Pm1 0.0139 0.0139 0.2674  1 Pt 2.75
Pm2 0.0479 0.5765 0.3804  3 Pt 2.85-3.12, 1 Cd 3.09
Pm3 0.1032 0.6192 0.9682  3 Pt 2.98-2.99
Pm4 0.3808 0.8968 0.0318  3 Pt 2.98-2.99
Pm5 0.4035 0.4035 0.6975  1 Pt 2.81
Pm6 0.4235 0.9521 0.6196  3 Pt 2.85-3.12, 1 Cd 3.09
Pm7 0.5765 0.0479 0.3804  3 Pt 2.85-3.12, 1 Cd 3.09
Pm8 0.5965 0.5965 0.3025  1 Pt 2.81
Pm9 0.6192 0.1032 0.9682  3 Pt 2.98-2.99
Pm10 0.8968 0.3808 0.0318  3 Pt 2.98-2.99
Pm11 0.9521 0.4235 0.6196  3 Pt 2.85-3.12, 1 Cd 3.09
Pm12 0.9861 0.9861 0.7326  1 Pt 2.75
Cd1 0.3091 0.6909 0.5000  1 Cd 2.84, 2 Pm 3.09
Cd2 0.6909 0.3091 0.5000  1 Cd 2.84, 2 Pm 3.09
Pt1 0.1838 0.1838 0.3447  3 Pm 2.75-2.88
Pt2 0.2209 0.2209 0.8693  6 Pm 2.85-2.99
Pt3 0.5000 0.5000 0.0000  6 Pm 2.81-2.99
Pt4 0.7791 0.7791 0.1307  6 Pm 2.85-2.99
Pt5 0.8162 0.8162 0.6553  3 Pm 2.75-2.88

Entry 11:
## CaAcTh2N4 (PBE)

Data for a relaxed CaAcTh2N4 crystal.

Calculated total energy ... -65.2 eV for the cell shown
Total magnetization ... 0.0000 μB per atom

Cell: 6.4234 3.7241 6.4236 Å, 90.00 109.27 90.00°
Closest atoms and distances in Å follow each position.
Element x y z (fractional)
Ca1 0.0000 0.0000 0.0000  6 N 2.72-2.75
Ac1 0.5000 0.5000 0.0000  6 N 2.73-2.75
Th1 0.0000 0.5000 0.5000  6 N 2.52
Th2 0.5000 0.0000 0.5000  6 N 2.52-2.53
N1 0.2373 0.0000 0.7197  3 Th 2.52-2.53, 1 Ca 2.72, 2 Ac 2.75
N2 0.2614 0.5000 0.2817  3 Th 2.52, 1 Ac 2.73, 2 Ca 2.75
N3 0.7386 0.5000 0.7183  3 Th 2.52, 1 Ac 2.73, 2 Ca 2.75
N4 0.7627 0.0000 0.2803  3 Th 2.52-2.53, 1 Ca 2.72, 2 Ac 2.75

Entry 12:
## NaTiAl (PBE)

Data for a relaxed NaTiAl crystal.

Energy relative to the lowest polymorph listed for this composition ... 84 meV per atom
Calculated total energy ... -25.6 eV for the cell shown
Formation energy ... 0.044 eV per atom
Total magnetization ... 0.0000 μB per atom

Cell: 10.4261 10.4261 3.2386 Å, 90.00 90.00 155.74°
Closest atoms and distances in Å follow each position.
Element x y z (fractional)
Na1 0.1858 0.8142 0.7500  2 Al 3.17, 2 Na 3.24, 2 Ti 3.48
Na2 0.8142 0.1858 0.2500  2 Al 3.17, 2 Na 3.24, 2 Ti 3.48
Ti1 0.4470 0.5530 0.2500  2 Ti 2.70, 4 Al 2.72
Ti2 0.5530 0.4470 0.7500  2 Ti 2.70, 4 Al 2.72
Al1 0.0520 0.9480 0.2500  2 Al 2.67, 4 Ti 2.72
Al2 0.9480 0.0520 0.7500  2 Al 2.67, 4 Ti 2.72